(1)
Sm12Er6Zr, optimized geometry, DFT PBE; total DFT energy (no corrections) = -4.837 eV/atom; N(E_F) = 22.8 states/eV/cell; total magnetization = 0.00 μB/atom; calculated formation energy = 0.035 eV per atom
1.0
-4.7263 -7.2765 -3.6825
2.5105 -1.7790 8.9095
-5.0659 7.9297 -0.5506
Sm Er Zr
12 6 1
direct
0.3730 0.0565 0.5827 Sm
0.0565 0.5827 0.3730 Sm
0.5827 0.3730 0.0565 Sm
0.6270 0.9435 0.4173 Sm
0.9435 0.4173 0.6270 Sm
0.4173 0.6270 0.9435 Sm
0.1028 0.1546 0.7420 Sm
0.2580 0.8972 0.8454 Sm
0.8454 0.2580 0.8972 Sm
0.8972 0.8454 0.2580 Sm
0.7420 0.1028 0.1546 Sm
0.1546 0.7420 0.1028 Sm
0.2095 0.3113 0.4643 Er
0.6887 0.5357 0.7905 Er
0.5357 0.7905 0.6887 Er
0.7905 0.6887 0.5357 Er
0.3113 0.4643 0.2095 Er
0.4643 0.2095 0.3113 Er
0.0000 0.0000 0.0000 Zr

***

(2)
Sm6Er4Zr, optimized geometry, DFT PBE; total DFT energy (no corrections) = -4.848 eV/atom; N(E_F) = 35.5 states/eV/cell; total magnetization = 0.11 μB/atom; calculated formation energy = 0.162 eV per atom
1.0
-5.1649 -6.9326 1.0873
6.8833 -5.2677 -0.8894
1.4334 0.3484 9.0304
Sm Er Zr
12 8 2
direct
0.3453 0.8516 0.5000 Sm
0.8453 0.6484 0.0000 Sm
0.6484 0.1547 0.0000 Sm
0.1484 0.3453 0.5000 Sm
0.0000 0.0000 0.1765 Sm
0.5000 0.5000 0.3235 Sm
0.3516 0.8453 0.0000 Sm
0.0000 0.0000 0.8235 Sm
0.1547 0.3516 0.0000 Sm
0.5000 0.5000 0.6765 Sm
0.8516 0.6547 0.5000 Sm
0.6547 0.1484 0.5000 Sm
0.3535 0.1465 0.2500 Er
0.1465 0.6465 0.7500 Er
0.6465 0.8535 0.7500 Er
0.8535 0.3535 0.7500 Er
0.3535 0.1465 0.7500 Er
0.1465 0.6465 0.2500 Er
0.8535 0.3535 0.2500 Er
0.6465 0.8535 0.2500 Er
0.5000 0.5000 0.0000 Zr
0.0000 0.0000 0.5000 Zr

***

(3)
Sm2ErZr, optimized geometry, DFT PBE; total DFT energy (no corrections) = -5.422 eV/atom; N(E_F) = 6.3 states/eV/cell; ΔE to the lowest computed polymorph = 107 meV per atom; total magnetization = 0.44 μB/atom; calculated formation energy = 0.215 eV per atom
1.0
-1.8862 2.6597 4.4588
-2.9439 -2.7217 3.7998
2.1862 -1.0377 4.9655
Zr Sm Er
1 2 1
direct
0.5000 0.5000 0.5000 Zr
0.2500 0.2500 0.2500 Sm
0.7500 0.7500 0.7500 Sm
0.0000 0.0000 0.0000 Er

***

(4)
SmErZr, optimized geometry, DFT PBE; total DFT energy (no corrections) = -5.816 eV/atom; N(E_F) = 8.1 states/eV/cell; ΔE to the lowest computed polymorph = 38 meV per atom; total magnetization = 0.00 μB/atom; calculated formation energy = 0.128 eV per atom
1.0
4.8997 0.0001 0.0063
0.0000 3.3713 0.0021
-0.0133 -1.6709 10.3200
Sm Er Zr
2 2 2
direct
0.3469 0.0466 0.5114 Sm
0.8469 0.9431 0.3121 Sm
0.3469 0.3605 0.1434 Er
0.8469 0.6293 0.6802 Er
0.8468 0.7815 0.9845 Zr
0.3468 0.2085 0.8390 Zr

***

(5)
SmEr2Zr, optimized geometry, DFT PBE; total DFT energy (no corrections) = -5.523 eV/atom; N(E_F) = 5.5 states/eV/cell; ΔE to the lowest computed polymorph = 3 meV per atom; total magnetization = 0.00 μB/atom; calculated formation energy = 0.075 eV per atom
1.0
3.4380 0.0000 0.0000
1.7190 2.9774 0.0000
1.7190 0.9925 11.3034
Zr Sm Er
1 1 2
direct
0.0000 0.0000 0.0000 Zr
0.5000 0.5000 0.5000 Sm
0.2557 0.2557 0.2330 Er
0.7443 0.7443 0.7670 Er

***

(6)
SmEr2Zr, optimized geometry, DFT PBE; total DFT energy (no corrections) = -5.503 eV/atom; N(E_F) = 4.8 states/eV/cell; ΔE to the lowest computed polymorph = 23 meV per atom; total magnetization = 0.00 μB/atom; calculated formation energy = 0.095 eV per atom
1.0
4.8715 0.0000 0.0000
0.0000 4.8616 0.0000
0.0000 0.0000 4.8616
Zr Sm Er
1 1 2
direct
0.5000 0.0000 0.0000 Zr
0.5000 0.5000 0.5000 Sm
0.0000 0.0000 0.5000 Er
0.0000 0.5000 0.0000 Er

***

(7)
ErSn6, optimized geometry, DFT PBE; total DFT energy (no corrections) = -3.673 eV/atom; N(E_F) = 6.0 states/eV/cell; total magnetization = 0.00 μB/atom; calculated formation energy = 0.410 eV per atom
1.0
-4.2392 4.8197 2.7956
-1.2907 -0.5465 -6.8594
-1.1356 -6.1798 3.0879
Er Sn
1 6
direct
0.0000 0.0000 0.0000 Er
0.2500 0.7500 0.5000 Sn
0.5000 0.7500 0.2500 Sn
0.2500 0.5000 0.7500 Sn
0.7500 0.2500 0.5000 Sn
0.5000 0.2500 0.7500 Sn
0.7500 0.5000 0.2500 Sn

***

(8)
Er5Sn3, optimized geometry, DFT PBE; total DFT energy (no corrections) = -4.988 eV/atom; N(E_F) = 12.1 states/eV/cell; ΔE to the lowest computed polymorph = 77 meV per atom; total magnetization = 0.00 μB/atom; calculated formation energy = -0.635 eV per atom
1.0
-3.1244 3.7247 -6.4863
2.6580 -6.0178 -4.7360
-5.5994 -2.1506 6.5273
Er Sn
10 6
direct
0.0000 0.0000 0.0000 Er
0.5000 0.5000 0.0000 Er
0.5051 0.0051 0.6990 Er
0.1939 0.6939 0.6990 Er
0.6939 0.5051 0.6990 Er
0.0051 0.1939 0.6990 Er
0.4949 0.9949 0.3010 Er
0.8061 0.3061 0.3010 Er
0.3061 0.4949 0.3010 Er
0.9949 0.8061 0.3010 Er
0.7500 0.7500 0.5000 Sn
0.2500 0.2500 0.5000 Sn
0.1446 0.6446 0.0000 Sn
0.8554 0.3554 0.0000 Sn
0.3554 0.1446 0.0000 Sn
0.6446 0.8554 0.0000 Sn

***

Which of these has the lowest N(E_F)? number 6